Record 1
A geometry-optimized ZnHg2Pb structure, computed with PBE.

Computed properties:
- energy of formation (kcal/mol of atoms) = 2.24
- total DFT energy (no corrections) (eV per atom) = -1.30
- theoretical density (kg/m³) = 11242

a b c (Å): 3.5293 5.5675 10.1305
angles (deg): 90.00 90.00 90.00
Last column: nearest neighbours and their distance in Å.
Space group Immm (No. 71)
Inequivalent atoms, fractional coordinates:
Zn 0.0000 0.0000 0.0000 (multiplicity 2)  4 Hg 2.86
Hg 0.0000 0.5000 0.2776 (multiplicity 4)  2 Zn 2.86
Pb 0.0000 0.0000 0.5000 (multiplicity 2)  4 Zn 3.30, 8 Hg 3.32-3.58, 2 Pb 3.53



Record 2
A geometry-optimized ZnHgPb2 structure, computed with PBE.

Computed properties:
- energy of formation (kcal/mol of atoms) = 2.64
- energy above the most stable polymorph in this dataset (eV per atom) = 0.033
- total DFT energy (no corrections) (eV per atom) = -2.13
- theoretical density (kg/m³) = 10404

a b c (Å): 9.2968 3.4645 6.8390
angles (deg): 90.00 99.61 90.00
Last column: nearest neighbours and their distance in Å.
Space group C2/m (No. 12)
Inequivalent atoms, fractional coordinates:
Zn 0.0000 0.0000 0.0000 (multiplicity 2)  6 Pb 3.05-3.06
Hg 0.0000 0.5000 0.5000 (multiplicity 2)  6 Pb 3.16-3.28, 2 Hg 3.46
Pb 0.2418 0.5000 0.2261 (multiplicity 4)  3 Zn 3.05-3.06, 3 Hg 3.16-3.28



Record 3
A geometry-optimized Zn3Hg3Pb structure, computed with PBE.

Computed properties:
- energy of formation (kcal/mol of atoms) = 8.09
- total DFT energy (no corrections) (eV per atom) = -0.85
- theoretical density (kg/m³) = 8190

a b c (Å): 7.4146 7.4146 7.4146
angles (deg): 90.00 90.00 90.00
Last column: nearest neighbours and their distance in Å.
Space group Pm-3n (No. 223)
Inequivalent atoms, fractional coordinates:
Zn 0.0000 0.2500 0.5000 (multiplicity 6)  4 Hg 2.62
Hg 0.0000 0.5000 0.2500 (multiplicity 6)  4 Zn 2.62
Pb 0.0000 0.0000 0.0000 (multiplicity 2)  12 Hg 4.14, 12 Zn 4.14